No. 1
The following is a PBE-GGA calculation of an optimized crystal structure of Ac3CeRh3, from the Alexandria database.

Cell lengths 7.3113, 7.3113, 7.6298 Å; angles 90.85, 90.85, 100.42 degrees
Atoms (fractional coordinates):
1 Ac 0.7506 0.2494 0.0000
2 Ac 0.8293 0.1707 0.5000
3 Ac 0.2494 0.7506 0.0000
4 Ac 0.3490 0.3490 0.6478
5 Ac 0.6510 0.6510 0.3522
6 Ac 0.1707 0.8293 0.5000
7 Rh 0.4718 0.0837 0.2956
8 Rh 0.9163 0.5282 0.7044
9 Rh 0.9272 0.9272 0.1802
10 Rh 0.0837 0.4718 0.2956
11 Rh 0.5282 0.9163 0.7044
12 Rh 0.0728 0.0728 0.8198
13 Ce 0.2319 0.2319 0.1484
14 Ce 0.7681 0.7681 0.8516

Results
Magnetic moment = 0.0 μB/f.u.
Excess energy over the best structure of this formula in the dataset = 0.053 eV per atom
V = 28.6 Å³/atom
Formation energy = -572 meV per atom
Final energy = -6.331 eV/atom

No. 2
The following is a PBE-GGA calculation of an optimized crystal structure of AgOsN2, from the Alexandria database.

Cell lengths 5.0545, 5.0545, 5.7638 Å; angles 63.99, 63.99, 90.00 degrees
Atoms (fractional coordinates):
1 N 0.7053 0.1250 0.2500
2 N 0.0447 0.6250 0.2500
3 N 0.8750 0.9553 0.7500
4 N 0.3750 0.2947 0.7500
5 Os 0.0000 0.0000 0.0000
6 Os 0.7500 0.2500 0.5000
7 Ag 0.5000 0.5000 0.0000
8 Ag 0.2500 0.7500 0.5000

Results
ΔE_f (raw) = 2.7 eV per formula unit
Magnetic moment = 0.0 μB/f.u.
Excess energy over the best structure of this formula in the dataset = 0.000 eV per atom
V = 14.4 Å³/atom
Final energy = -7.017 eV/atom